[1]
An optimized crystal structure of Np2TiTl3Te6. Source: the Alexandria database, functional PBE.

Lattice parameters (Å, degrees): 7.4923 12.9468 8.6177 90.00 106.83 90.00
Last column: nearest neighbours and their distance in Å.
Space group C2/m (No. 12)
Symmetry-distinct sites (fractional):
Np1 0.0000 0.1651 0.0000 [4 per cell]  6 Te 3.09-3.10
Ti1 0.0000 0.5000 0.0000 [2 per cell]  6 Te 2.90-2.93
Tl1 0.0000 0.0000 0.5000 [2 per cell]  6 Te 3.43-3.55
Tl2 0.0000 0.3256 0.5000 [4 per cell]  6 Te 3.43-3.52
Te1 0.2250 0.3433 0.2065 [8 per cell]  1 Ti 2.90, 2 Np 3.09-3.10
Te2 0.2417 0.5000 0.7866 [4 per cell]  1 Ti 2.93, 2 Np 3.10

Properties
Formation energy without anion corrections (meV per atom): -538
Density (g cm⁻³): 7.89
Calculated volume (Å³ per atom): 33.339
Raw total energy (eV per atom): -5.515

[2]
An optimized crystal structure of Hf2FeIr. Source: the Alexandria database, functional PBE.

Lattice parameters (Å, degrees): 4.2148 4.2148 17.3610 90.00 90.00 90.00
Last column: nearest neighbours and their distance in Å.
Space group I-42d (No. 122)
Symmetry-distinct sites (fractional):
Hf1 0.2459 0.2500 0.1250 [8 per cell]  2 Fe 2.63, 2 Ir 2.64
Fe1 0.0000 0.0000 0.0000 [4 per cell]  4 Hf 2.63
Ir1 0.0000 0.0000 0.5000 [4 per cell]  4 Hf 2.64

Properties
Energy above the most stable polymorph in this dataset (meV per atom): 976
Density (g cm⁻³): 13.03
Calculated volume (Å³ per atom): 19.276
Raw total energy (eV per atom): -8.987
ΔH_f (0 K) (meV per atom): 320.4

[3]
An optimized crystal structure of NdZn3Ag3. Source: the Alexandria database, functional PBE.

Lattice parameters (Å, degrees): 12.0843 12.0843 12.0843 90.00 90.00 90.00
Last column: nearest neighbours and their distance in Å.
Space group Fm-3m (No. 225)
Symmetry-distinct sites (fractional):
Nd1 0.2500 0.2500 0.2500 [8 per cell]  12 Ag 4.41, 12 Zn 4.45
Zn1 0.0000 0.0000 0.1468 [24 per cell]  1 Ag 2.35, 4 Zn 2.51
Ag1 0.0000 0.0000 0.3410 [24 per cell]  1 Zn 2.35

Properties
Density (g cm⁻³): 5.00
Calculated volume (Å³ per atom): 31.512
Raw total energy (eV per atom): -1.762
ΔH_f (0 K) (meV per atom): 686.6

[4]
An optimized crystal structure of Ti8GaPb2. Source: the Alexandria database, functional PBE.

Lattice parameters (Å, degrees): 15.3043 3.9447 6.9801 90.00 107.90 90.00
Last column: nearest neighbours and their distance in Å.
Space group C2/m (No. 12)
Symmetry-distinct sites (fractional):
Ti1 0.0444 0.0000 0.2511 [4 per cell]  6 Ti 2.76-2.86, 2 Ga 2.85, 1 Pb 2.95
Ti2 0.0782 0.5000 0.9370 [4 per cell]  5 Ti 2.76-2.92, 1 Ga 2.91, 2 Pb 2.97
Ti3 0.1267 0.0000 0.6792 [4 per cell]  2 Ga 2.78, 6 Ti 2.81-2.92, 2 Pb 3.02
Ti4 0.1745 0.5000 0.4269 [4 per cell]  6 Ti 2.80-2.97, 1 Ga 2.87, 3 Pb 2.88-2.96
Ga1 0.0000 0.5000 0.5000 [2 per cell]  12 Ti 2.78-2.91
Pb1 0.2188 0.0000 0.1535 [4 per cell]  9 Ti 2.88-3.18

Properties
Density (g cm⁻³): 7.18
Calculated volume (Å³ per atom): 18.227
Raw total energy (eV per atom): -6.804
ΔH_f (0 K) (meV per atom): -113.0

[5]
An optimized crystal structure of La4Sn2Ge. Source: the Alexandria database, functional PBE.

Lattice parameters (Å, degrees): 5.5656 5.5656 16.9622 90.00 90.00 90.00
Last column: nearest neighbours and their distance in Å.
Space group I4/mmm (No. 139)
Symmetry-distinct sites (fractional):
La1 0.0000 0.0000 0.1778 [4 per cell]  1 Ge 3.02, 1 Sn 3.25
La2 0.0000 0.5000 0.0000 [4 per cell]  2 Ge 2.78
Sn1 0.0000 0.0000 0.3694 [4 per cell]  5 La 3.25-3.56
Ge1 0.0000 0.0000 0.0000 [2 per cell]  6 La 2.78-3.02

Properties
Energy above the most stable polymorph in this dataset (meV per atom): 157
Density (g cm⁻³): 5.47
Calculated volume (Å³ per atom): 37.531
Raw total energy (eV per atom): -5.111
ΔH_f (0 K) (meV per atom): -492.1

[6]
An optimized crystal structure of TaSn3Pt. Source: the Alexandria database, functional PBE.

Lattice parameters (Å, degrees): 5.3123 5.3123 5.3123 90.00 90.00 90.00
Last column: nearest neighbours and their distance in Å.
Space group Pm-3m (No. 221)
Symmetry-distinct sites (fractional):
Ta1 0.0000 0.0000 0.0000 [1 per cell]  6 Sn 2.66
Sn1 0.0000 0.0000 0.5000 [3 per cell]  2 Ta 2.66
Pt1 0.5000 0.5000 0.5000 [1 per cell]  12 Sn 3.76

Properties
Energy above the most stable polymorph in this dataset (meV per atom): 0
Density (g cm⁻³): 8.11
Calculated volume (Å³ per atom): 29.984
Raw total energy (eV per atom): -5.085
ΔH_f (0 K) (meV per atom): 895.5

[7]
An optimized crystal structure of ThZnCuGe2. Source: the Alexandria database, functional PBE.

Lattice parameters (Å, degrees): 4.0962 4.0962 11.2066 90.00 90.00 90.00
Last column: nearest neighbours and their distance in Å.
Space group I-4m2 (No. 119)
Symmetry-distinct sites (fractional):
Th1 0.0000 0.0000 0.0000 [2 per cell]  8 Ge 3.18, 4 Cu 3.47, 4 Zn 3.47
Zn1 0.0000 0.5000 0.2500 [2 per cell]  4 Ge 2.53
Cu1 0.0000 0.5000 0.7500 [2 per cell]  4 Ge 2.53
Ge1 0.0000 0.0000 0.3830 [4 per cell]  2 Cu 2.53, 2 Zn 2.53, 1 Ge 2.62

Properties
Density (g cm⁻³): 8.94
Calculated volume (Å³ per atom): 18.804
Raw total energy (eV per atom): -4.813
ΔH_f (0 K) (meV per atom): -408.1

[8]
An optimized crystal structure of TlSbTe2. Source: the Alexandria database, functional PBE.

Lattice parameters (Å, degrees): 4.4299 4.4299 24.7779 90.00 90.00 120.00
Last column: nearest neighbours and their distance in Å.
Space group R3m (No. 160, hexagonal axes)
Symmetry-distinct sites (fractional):
Tl1 0.0000 0.0000 0.0000 [3 per cell]  6 Te 3.39-3.58
Sb1 0.0000 0.0000 0.8293 [3 per cell]  6 Te 3.09-3.13
Te1 0.0000 0.0000 0.2325 [3 per cell]  3 Sb 3.09
Te2 0.0000 0.0000 0.4234 [3 per cell]  3 Sb 3.13, 3 Tl 3.39

Properties
Energy above the most stable polymorph in this dataset (meV per atom): 12
Formation energy without anion corrections (meV per atom): -218
Density (g cm⁻³): 6.88
Calculated volume (Å³ per atom): 35.091
Raw total energy (eV per atom): -3.411